First-principles (PBE-GGA) data for a geometry-optimized LiPaGaNi structure, as listed in the Alexandria database.

POSCAR file:
```
LiPaGaNi
1.0
0.000 3.204 3.204
3.204 0.000 3.204
3.204 3.204 0.000
Li Pa Ga Ni
1 1 1 1
Cartesian
0.000 0.000 0.000
4.806 4.806 4.806
1.602 1.602 1.602
3.204 3.204 3.204
```

Computed properties:
* uncorrected energy: -21.1 eV/cell